A geometry-optimized CoP4O11 structure, computed with GGA+U.

```
data_CoP4O11
_chemical_formula_sum 'Co4 P16 O44'
_symmetry_space_group_name_H-M 'P 1 21/c 1'
_symmetry_Int_Tables_number 14
_cell_length_a 5.459
_cell_length_b 22.650
_cell_length_c 7.530
_cell_angle_alpha 90.00
_cell_angle_beta 110.72
_cell_angle_gamma 90.00
loop_
_symmetry_equiv_pos_as_xyz
'x,y,z'
'-x,-y,-z'
'-x,y+1/2,-z+1/2'
'x,-y+1/2,z+1/2'
loop_
_atom_site_label
_atom_site_fract_x
_atom_site_fract_y
_atom_site_fract_z
_atom_site_occupancy
Co1 0.007 0.115 0.366 1
P1 0.316 0.072 0.809 1
P2 0.317 0.679 0.559 1
P3 0.396 0.696 0.974 1
P4 0.408 0.037 0.206 1
O1 0.082 0.657 0.407 1
O2 0.083 0.076 0.635 1
O3 0.192 0.682 0.056 1
O4 0.225 0.048 0.309 1
O5 0.238 0.048 0.978 1
O6 0.252 0.695 0.741 1
O7 0.332 0.565 0.249 1
O8 0.349 0.165 0.475 1
O9 0.439 0.135 0.877 1
O10 0.442 0.535 0.701 1
O11 0.460 0.733 0.507 1
```

For the total energy, the calculation gives -7.044 eV/atom. The calculation puts the volume at 13.608 A^3/atom. The theoretical density comes out at 2737 kg/m³.